No. 1
Density functional theory data (PBE) for crystalline Pd6Au5 at its relaxed geometry.

Unit cell a=7.3635 b=7.3635 c=7.3635 alpha=144.85 beta=123.17 gamma=68.60
Closest atoms and distances in Å follow each position.
Fractional positions:
Pd: 0.0617 0.3553 0.7064  7 Au 2.71-3.03, 3 Pd 2.84-2.89
Pd: 0.2034 0.0000 0.2034  6 Au 2.79-3.04, 5 Pd 2.84-2.85
Pd: 0.3511 0.6447 0.7064  7 Au 2.71-3.03, 3 Pd 2.84-2.89
Pd: 0.6489 0.3553 0.2936  7 Au 2.71-3.03, 3 Pd 2.84-2.89
Pd: 0.7966 0.0000 0.7966  6 Au 2.79-3.04, 5 Pd 2.84-2.85
Pd: 0.9383 0.6447 0.2936  7 Au 2.71-3.03, 3 Pd 2.84-2.89
Au: 0.1992 0.1992 0.0000  8 Pd 2.73-2.81, 2 Au 2.86
Au: 0.3472 0.8472 0.5000  8 Pd 2.79-3.03, 4 Au 2.86-2.90
Au: 0.5000 0.5000 0.0000  4 Pd 2.71, 4 Au 2.90
Au: 0.6528 0.1528 0.5000  8 Pd 2.79-3.03, 4 Au 2.86-2.90
Au: 0.8008 0.8008 0.0000  8 Pd 2.73-2.81, 2 Au 2.86

Results
The formation enthalpy at 0 K is 5 kJ/mol of atoms. The total energy comes out at -46.95 eV for the cell shown.

***

No. 2
Density functional theory data (PBE) for crystalline Pd2Au at its relaxed geometry.

Unit cell a=4.9240 b=4.9240 c=5.7398 alpha=106.75 beta=106.75 gamma=47.54
Closest atoms and distances in Å follow each position.
Fractional positions:
Pd: 0.9995 0.9995 0.2439  7 Pd 2.80-2.94, 5 Au 2.84-2.86
Pd: 0.0005 0.0005 0.7561  7 Pd 2.80-2.94, 5 Au 2.84-2.86
Pd: 0.3343 0.3343 0.9194  8 Pd 2.81-2.86, 4 Au 2.84-2.90
Pd: 0.6657 0.6657 0.0806  8 Pd 2.81-2.86, 4 Au 2.84-2.90
Au: 0.3336 0.3336 0.4134  9 Pd 2.84-2.90, 3 Au 2.85
Au: 0.6664 0.6664 0.5866  9 Pd 2.84-2.90, 3 Au 2.85

Results
The formation enthalpy at 0 K is -4 kJ/mol of atoms. The value obtained for the offset from the most stable computed form is 0.03 eV per formula unit. The total energy comes out at -27.55 eV for the cell shown.

***

No. 3
Density functional theory data (PBE) for crystalline Pd5Au7 at its relaxed geometry.

Unit cell a=4.9940 b=4.9940 c=10.0911 alpha=104.40 beta=104.40 gamma=57.98
Closest atoms and distances in Å follow each position.
Fractional positions:
Pd: 0.0000 0.0000 0.0000  8 Au 2.83-2.90, 2 Pd 2.84
Pd: 0.1663 0.1663 0.4987  6 Au 2.79-2.91, 4 Pd 2.80-2.91
Pd: 0.2513 0.2513 0.2513  2 Pd 2.80-2.84, 8 Au 2.81-2.93
Pd: 0.7487 0.7487 0.7487  2 Pd 2.80-2.84, 8 Au 2.81-2.93
Pd: 0.8337 0.8337 0.5013  6 Au 2.79-2.91, 4 Pd 2.80-2.91
Au: 0.0801 0.0801 0.7474  6 Pd 2.79-2.90, 4 Au 2.83-2.91
Au: 0.3325 0.3325 0.0000  6 Au 2.82-2.93, 4 Pd 2.82-2.90
Au: 0.4130 0.4130 0.7472  4 Pd 2.80-2.93, 6 Au 2.81-2.91
Au: 0.5000 0.5000 0.5000  2 Au 2.81, 8 Pd 2.81-2.91
Au: 0.5870 0.5870 0.2528  4 Pd 2.80-2.93, 6 Au 2.81-2.91
Au: 0.6675 0.6675 0.0000  6 Au 2.82-2.93, 4 Pd 2.82-2.90
Au: 0.9199 0.9199 0.2526  6 Pd 2.79-2.90, 4 Au 2.83-2.91

Results
The formation enthalpy at 0 K is -3 kJ/mol of atoms. The value obtained for the offset from the most stable computed form is 0.26 eV per formula unit. The total energy comes out at -49.32 eV for the cell shown.

***

No. 4
Density functional theory data (PBE) for crystalline Pd3Au at its relaxed geometry.

Unit cell a=4.0019 b=4.0019 c=4.0019 alpha=90.00 beta=90.00 gamma=90.00
Closest atoms and distances in Å follow each position.
Fractional positions:
Pd: 0.0000 0.0000 0.5000  8 Pd 2.83, 4 Au 2.83
Pd: 0.0000 0.5000 0.0000  8 Pd 2.83, 4 Au 2.83
Pd: 0.5000 0.0000 0.0000  8 Pd 2.83, 4 Au 2.83
Au: 0.5000 0.5000 0.5000  12 Pd 2.83

Results
The formation enthalpy at 0 K is -5 kJ/mol of atoms. The value obtained for the offset from the most stable computed form is 0.00 eV per formula unit. The total energy comes out at -19.05 eV for the cell shown.

***

No. 5
Density functional theory data (PBE) for crystalline PdAu7 at its relaxed geometry.

Unit cell a=5.8480 b=5.8480 c=5.8480 alpha=60.00 beta=60.00 gamma=60.00
Closest atoms and distances in Å follow each position.
Fractional positions:
Pd: 0.0000 0.0000 0.0000  12 Au 2.92
Au: 0.0000 0.0000 0.5000  2 Pd 2.92, 10 Au 2.92
Au: 0.0000 0.5000 0.0000  2 Pd 2.92, 10 Au 2.92
Au: 0.0000 0.5000 0.5000  2 Pd 2.92, 10 Au 2.92
Au: 0.5000 0.0000 0.0000  2 Pd 2.92, 10 Au 2.92
Au: 0.5000 0.0000 0.5000  2 Pd 2.92, 10 Au 2.92
Au: 0.5000 0.5000 0.0000  2 Pd 2.92, 10 Au 2.92
Au: 0.5000 0.5000 0.5000  12 Au 2.92

Results
The formation enthalpy at 0 K is -2 kJ/mol of atoms. The total energy comes out at -28.32 eV for the cell shown.

***

No. 6
Density functional theory data (PBE) for crystalline Pd8Au3 at its relaxed geometry.

Unit cell a=4.9201 b=4.9201 c=10.2166 alpha=103.69 beta=103.69 gamma=47.80
Closest atoms and distances in Å follow each position.
Fractional positions:
Pd: 0.0450 0.0450 0.3186  4 Au 2.82, 8 Pd 2.83-2.84
Pd: 0.1375 0.1375 0.9532  7 Pd 2.82-2.87, 5 Au 2.82-2.84
Pd: 0.2278 0.2278 0.5905  8 Pd 2.82-2.84, 4 Au 2.83-2.84
Pd: 0.3181 0.3181 0.2286  8 Pd 2.82-2.86, 4 Au 2.83-2.85
Pd: 0.6819 0.6819 0.7714  8 Pd 2.82-2.86, 4 Au 2.83-2.85
Pd: 0.7722 0.7722 0.4095  8 Pd 2.82-2.84, 4 Au 2.83-2.84
Pd: 0.8625 0.8625 0.0468  7 Pd 2.82-2.87, 5 Au 2.82-2.84
Pd: 0.9550 0.9550 0.6814  4 Au 2.82, 8 Pd 2.83-2.84
Au: 0.4084 0.4084 0.8624  11 Pd 2.82-2.85, 1 Au 2.87
Au: 0.5000 0.5000 0.5000  12 Pd 2.82-2.84
Au: 0.5916 0.5916 0.1376  11 Pd 2.82-2.85, 1 Au 2.87

Results
The formation enthalpy at 0 K is -4 kJ/mol of atoms. The value obtained for the offset from the most stable computed form is 0.00 eV per formula unit. The total energy comes out at -51.82 eV for the cell shown.

***

No. 7
Density functional theory data (PBE) for crystalline Pd2Au3 at its relaxed geometry.

Unit cell a=6.6808 b=6.6808 c=4.7946 alpha=105.63 beta=105.63 gamma=108.37
Closest atoms and distances in Å follow each position.
Fractional positions:
Pd: 0.0000 0.5000 0.5000  2 Pd 2.68, 6 Au 2.68-2.83
Pd: 0.1222 0.8778 0.0000  3 Pd 2.65-2.68, 4 Au 2.78-2.82
Pd: 0.5000 0.0000 0.5000  2 Pd 2.68, 6 Au 2.68-2.83
Pd: 0.8778 0.1222 0.0000  3 Pd 2.65-2.68, 4 Au 2.78-2.82
Au: 0.2017 0.2017 0.5800  4 Pd 2.79-2.82, 3 Au 2.84-2.88
Au: 0.2551 0.5226 0.1532  4 Pd 2.68-2.98, 4 Au 2.74-2.96
Au: 0.4774 0.7449 0.8468  4 Pd 2.68-2.98, 4 Au 2.74-2.96
Au: 0.5226 0.2551 0.1532  4 Pd 2.68-2.98, 4 Au 2.74-2.96
Au: 0.7449 0.4774 0.8468  4 Pd 2.68-2.98, 4 Au 2.74-2.96
Au: 0.7983 0.7983 0.4200  4 Pd 2.79-2.82, 3 Au 2.84-2.88

Results
The formation enthalpy at 0 K is 9 kJ/mol of atoms. The total energy comes out at -39.50 eV for the cell shown.

***

No. 8
Density functional theory data (PBE) for crystalline Pd5Au7 at its relaxed geometry.

Unit cell a=7.5686 b=7.5686 c=10.7154 alpha=117.18 beta=117.18 gamma=21.92
Closest atoms and distances in Å follow each position.
Fractional positions:
Pd: 0.0000 0.0000 0.0000  10 Au 2.86-2.93, 2 Pd 2.88
Pd: 0.1676 0.1676 0.5014  6 Au 2.83-2.91, 6 Pd 2.85-2.88
Pd: 0.3065 0.3065 0.2527  8 Au 2.85-2.95, 4 Pd 2.87-2.88
Pd: 0.6935 0.6935 0.7473  8 Au 2.85-2.95, 4 Pd 2.87-2.88
Pd: 0.8324 0.8324 0.4986  6 Au 2.83-2.91, 6 Pd 2.85-2.88
Au: 0.0287 0.0287 0.7511  4 Pd 2.86-2.91, 8 Au 2.88-2.91
Au: 0.3326 0.3326 0.9963  5 Pd 2.86-2.95, 7 Au 2.88-2.91
Au: 0.3586 0.3586 0.7461  7 Pd 2.83-2.93, 5 Au 2.88-2.89
Au: 0.5000 0.5000 0.5000  6 Pd 2.86-2.87, 6 Au 2.88-2.90
Au: 0.6414 0.6414 0.2539  7 Pd 2.83-2.93, 5 Au 2.88-2.89
Au: 0.6674 0.6674 0.0037  5 Pd 2.86-2.95, 7 Au 2.88-2.91
Au: 0.9713 0.9713 0.2489  4 Pd 2.86-2.91, 8 Au 2.88-2.91

Results
The formation enthalpy at 0 K is -5 kJ/mol of atoms. The value obtained for the offset from the most stable computed form is 0.00 eV per formula unit. The total energy comes out at -49.58 eV for the cell shown.

***

No. 9
Density functional theory data (PBE) for crystalline PdAu3 at its relaxed geometry.

Unit cell a=4.6202 b=4.6202 c=4.6202 alpha=60.00 beta=60.00 gamma=60.00
Closest atoms and distances in Å follow each position.
Fractional positions:
Pd: 0.0000 0.0000 0.0000  8 Au 2.83
Au: 0.2500 0.2500 0.2500  4 Pd 2.83, 4 Au 2.83
Au: 0.5000 0.5000 0.5000  8 Au 2.83
Au: 0.7500 0.7500 0.7500  4 Pd 2.83, 4 Au 2.83

Results
The formation enthalpy at 0 K is -3 kJ/mol of atoms. The total energy comes out at -15.17 eV for the cell shown.

***

No. 10
Density functional theory data (PBE) for crystalline PdAu3 at its relaxed geometry.

Unit cell a=4.9558 b=4.9558 c=4.9558 alpha=130.26 beta=130.26 gamma=72.99
Closest atoms and distances in Å follow each position.
Fractional positions:
Pd: 0.0000 0.0000 0.0000  12 Au 2.88-2.95
Au: 0.2500 0.7500 0.5000  8 Au 2.88-2.95, 4 Pd 2.88
Au: 0.5000 0.5000 0.0000  8 Au 2.88, 4 Pd 2.95
Au: 0.7500 0.2500 0.5000  8 Au 2.88-2.95, 4 Pd 2.88

Results
The formation enthalpy at 0 K is -7 kJ/mol of atoms. The total energy comes out at -15.30 eV for the cell shown.

***

No. 11
Density functional theory data (PBE) for crystalline Pd3Au at its relaxed geometry.

Unit cell a=4.9011 b=4.9011 c=4.9011 alpha=131.81 beta=131.81 gamma=70.53
Closest atoms and distances in Å follow each position.
Fractional positions:
Pd: 0.0000 0.0000 0.0000  8 Pd 2.83, 4 Au 2.83
Pd: 0.2500 0.7500 0.5000  4 Au 2.83, 8 Pd 2.83
Pd: 0.7500 0.2500 0.5000  4 Au 2.83, 8 Pd 2.83
Au: 0.5000 0.5000 0.0000  12 Pd 2.83

Results
The formation enthalpy at 0 K is -4 kJ/mol of atoms. The value obtained for the offset from the most stable computed form is 0.04 eV per formula unit. The total energy comes out at -19.01 eV for the cell shown.

***

No. 12
Density functional theory data (PBE) for crystalline Pd5Au at its relaxed geometry.

Unit cell a=6.3235 b=6.3235 c=3.9736 alpha=90.00 beta=90.00 gamma=143.32
Closest atoms and distances in Å follow each position.
Fractional positions:
Pd: 0.0000 0.0000 0.0000  4 Au 2.81, 8 Pd 2.83-2.84
Pd: 0.1677 0.8323 0.5000  10 Pd 2.80-2.83, 2 Au 2.83
Pd: 0.3315 0.6685 0.0000  10 Pd 2.79-2.84, 2 Au 2.84
Pd: 0.6685 0.3315 0.0000  10 Pd 2.79-2.84, 2 Au 2.84
Pd: 0.8323 0.1677 0.5000  10 Pd 2.80-2.83, 2 Au 2.83
Au: 0.5000 0.5000 0.5000  12 Pd 2.81-2.84

Results
The formation enthalpy at 0 K is -2 kJ/mol of atoms. The total energy comes out at -29.35 eV for the cell shown.

***

No. 13
Density functional theory data (PBE) for crystalline PdAu4 at its relaxed geometry.

Unit cell a=7.4468 b=7.4468 c=7.4468 alpha=150.56 beta=150.56 gamma=42.12
Closest atoms and distances in Å follow each position.
Fractional positions:
Pd: 0.0000 0.0000 0.0000  8 Au 2.99
Au: 0.2500 0.7500 0.5000  8 Au 2.68-2.86
Au: 0.4047 0.4047 0.0000  5 Au 2.65-2.86
Au: 0.5953 0.5953 0.0000  5 Au 2.65-2.86
Au: 0.7500 0.2500 0.5000  8 Au 2.68-2.86

Results
The formation enthalpy at 0 K is 23 kJ/mol of atoms. The value obtained for the offset from the most stable computed form is 1.39 eV per formula unit. The total energy comes out at -17.09 eV for the cell shown.

***

| no. | spin magnetization (μB/atom) |
| --- | --- |
| 1 | 0.000 |
| 2 | 0.000 |
| 3 | 0.000 |
| 4 | 0.001 |
| 5 | 0.000 |
| 6 | 0.000 |
| 7 | 0.000 |
| 8 | 0.000 |
| 9 | 0.000 |
| 10 | 0.000 |
| 11 | 0.077 |
| 12 | 0.078 |
| 13 | 0.000 |